Record 1
VASP calculation (PBE) on a geometry-optimized PaGaMo structure.

Computed properties:
Its excess energy over the best structure of this formula in the dataset is 0.230 eV per atom. For the formation energy, the calculation gives 0.002 eV/atom. The total energy comes out at -23.3 eV/cell. The total magnetization is 0.0 μB/cell.

Cell lengths 3.2904, 3.2904, 5.9048 Å; angles 106.18, 106.18, 90.00 degrees
Atoms (fractional coordinates):
1 Pa 0.6800 0.6800 0.3600
2 Mo 0.3490 0.3490 0.6981
3 Ga 0.9710 0.9710 0.9419

Record 2
VASP calculation (PBE) on a geometry-optimized PaGaMo structure.

Computed properties:
Its excess energy over the best structure of this formula in the dataset is 0.298 eV per atom. For the formation energy, the calculation gives 0.070 eV/atom. The total energy comes out at -23.1 eV/cell. The total magnetization is 0.0 μB/cell.

Cell lengths 2.8991, 4.8191, 4.8191 Å; angles 120.00, 90.00, 90.00 degrees
Atoms (fractional coordinates):
1 Mo 0.4996 0.6667 0.3333
2 Ga 0.5004 0.3333 0.6667
3 Pa 0.0000 0.0000 0.0000

Record 3
VASP calculation (PBE) on a geometry-optimized Pa4Ga12Mo structure.

Computed properties:
For the formation energy, the calculation gives -0.394 eV/atom. The total energy comes out at -91.8 eV/cell. The total magnetization is 0.0 μB/cell.

Cell lengths 7.4972, 7.4972, 7.4972 Å; angles 109.47, 109.47, 109.47 degrees
Atoms (fractional coordinates):
1 Pa 0.5000 0.5000 0.5000
2 Pa 0.5000 0.0000 0.0000
3 Pa 0.0000 0.0000 0.5000
4 Pa 0.0000 0.5000 0.0000
5 Ga 0.2500 0.5000 0.7500
6 Ga 0.2967 0.0000 0.2967
7 Ga 0.2967 0.2967 0.0000
8 Ga 0.7500 0.5000 0.2500
9 Ga 0.0000 0.2967 0.2967
10 Ga 0.0000 0.7033 0.7033
11 Ga 0.5000 0.2500 0.7500
12 Ga 0.2500 0.7500 0.5000
13 Ga 0.7033 0.7033 0.0000
14 Ga 0.7033 0.0000 0.7033
15 Ga 0.7500 0.2500 0.5000
16 Ga 0.5000 0.7500 0.2500
17 Mo 0.0000 0.0000 0.0000